Density functional theory data (PBE+U) for an optimized crystal structure of TaMnIr2F.

## Properties
DOS at the Fermi energy, states/eV/cell: 3.74
Uncorrected energy, eV/cell: -36.9
Mass density, kg/m³: 12987
Total magnetization, μB/atom: 0.710

a = 4.8361 Å, b = 4.8361 Å, c = 3.4953 Å
α = 90.00°, β = 90.00°, γ = 90.00°
Closest atoms and distances in Å follow each position.
Space group P4/mmm (No. 123)
Asymmetric unit:
Ta: 0.0000 0.0000 0.0000  8 Ir 2.98
Mn: 0.5000 0.5000 0.5000  2 F 1.75
Ir: 0.0000 0.5000 0.5000  2 Mn 2.42
F: 0.5000 0.5000 0.0000  2 Mn 1.75